First-principles (GGA-PBE) data for Cd2CuI after structural relaxation, as listed in Alexandria via LeMat-Bulk.

a b c (Å): 5.2706 5.2706 5.2706
angles (deg): 60.00 60.00 60.00
Atoms (fractional coordinates):
1 Cd 0.7500 0.7500 0.7500
2 I 0.5000 0.5000 0.5000
3 Cu 0.0000 0.0000 0.0000
4 Cd 0.2500 0.2500 0.2500

Summary:
- Uncorrected formation energy: 510 meV/atom
- Space group: Fm-3m, No. 225
- ΔE to the lowest computed polymorph: 33.2 kJ/mol of atoms


First-principles (GGA-PBE) data for CdCuI4 after structural relaxation, as listed in Alexandria via LeMat-Bulk.

a b c (Å): 4.3634 7.1349 14.5889
angles (deg): 93.23 90.00 90.00
Atoms (fractional coordinates):
1 I 0.3924 0.8453 0.1153
2 I 0.8924 0.6547 0.3847
3 Cd 0.5000 0.5000 0.0000
4 Cd 0.0000 0.0000 0.5000
5 Cu 0.0000 0.0000 0.0000
6 I 0.1076 0.3453 0.6153
7 Cu 0.5000 0.5000 0.5000
8 I 0.6076 0.1547 0.8847
9 I 0.5018 0.8126 0.6112
10 I 0.0018 0.6874 0.8888
11 I 0.4982 0.1874 0.3888
12 I 0.9982 0.3126 0.1112

Summary:
- Uncorrected formation energy: -281 meV/atom
- Space group: P2_1/c, No. 14
- ΔE to the lowest computed polymorph: 1.7 kJ/mol of atoms


First-principles (GGA-PBE) data for CdCu2I6 after structural relaxation, as listed in Alexandria via LeMat-Bulk.

a b c (Å): 7.2056 10.8190 10.8190
angles (deg): 84.64 109.49 109.49
Atoms (fractional coordinates):
1 I 0.6167 0.9543 0.2452
2 Cd 0.2500 0.7507 0.2493
3 I 0.7751 0.3388 0.1631
4 I 0.3833 0.0457 0.7548
5 I 0.8833 0.7548 0.0457
6 I 0.0822 0.7462 0.4525
7 I 0.2249 0.6612 0.8369
8 I 0.4178 0.5475 0.2538
9 Cd 0.7500 0.2493 0.7507
10 Cu 0.8723 0.6760 0.8229
11 Cu 0.1277 0.3240 0.1771
12 Cu 0.3723 0.8229 0.6760
13 I 0.7249 0.8369 0.6612
14 Cu 0.6277 0.1771 0.3240
15 I 0.2751 0.1631 0.3388
16 I 0.1167 0.2452 0.9543
17 I 0.5822 0.4525 0.7462
18 I 0.9178 0.2538 0.5475

Summary:
- Uncorrected formation energy: -214 meV/atom
- Space group: C2/c, No. 15


First-principles (GGA-PBE) data for CdCuI4 after structural relaxation, as listed in Alexandria via LeMat-Bulk.

a b c (Å): 6.3361 6.3361 11.7981
angles (deg): 90.00 90.00 90.00
Atoms (fractional coordinates):
1 Cd 0.5000 0.0000 0.7500
2 I 0.7685 0.2589 0.6173
3 Cd 0.0000 0.5000 0.2500
4 I 0.2315 0.2589 0.8827
5 I 0.2589 0.7685 0.1173
6 I 0.7411 0.7685 0.3827
7 I 0.2315 0.7411 0.6173
8 I 0.7685 0.7411 0.8827
9 I 0.7411 0.2315 0.1173
10 I 0.2589 0.2315 0.3827
11 Cu 0.0000 0.0000 0.5000
12 Cu 0.0000 0.0000 0.0000

Summary:
- Uncorrected formation energy: -299 meV/atom
- Space group: P-42c, No. 112
- ΔE to the lowest computed polymorph: 0.0 kJ/mol of atoms